No. 1
The following is a PBE calculation of a relaxed structure of LiLa2RuI, from the Alexandria database.

abc: 5.365 5.365 5.102
angles: 90.00 90.00 90.00
Atoms (fractional coordinates):
Li: 0.000 0.000 0.000
La: 0.000 0.500 0.500
La: 0.500 0.000 0.500
Ru: 0.000 0.000 0.500
I: 0.500 0.500 0.000

Output
V   147 Å³ per cell
Size of the total moment   0.0000 μB per atom
Raw total energy   -4.912 eV/atom
Formation energy from raw total energies   -0.393 eV/atom
Density of states at the Fermi level   4.80 states/eV/f.u.

No. 2
The following is a PBE calculation of a relaxed structure of Np2Si3Ir5, from the Alexandria database.

abc: 12.323 12.323 6.862
angles: 90.00 90.00 161.12
Atoms (fractional coordinates):
Np: 0.020 0.980 0.500
Np: 0.342 0.658 0.030
Np: 0.658 0.342 0.530
Np: 0.980 0.020 0.000
Si: 0.110 0.890 0.181
Si: 0.256 0.744 0.524
Si: 0.448 0.552 0.315
Si: 0.552 0.448 0.815
Si: 0.744 0.256 0.024
Si: 0.890 0.110 0.681
Ir: 0.102 0.898 0.794
Ir: 0.209 0.791 0.226
Ir: 0.212 0.788 0.825
Ir: 0.352 0.648 0.519
Ir: 0.453 0.547 0.713
Ir: 0.547 0.453 0.213
Ir: 0.648 0.352 0.019
Ir: 0.788 0.212 0.325
Ir: 0.791 0.209 0.726
Ir: 0.898 0.102 0.294

Output
V   337 Å³ per cell
Size of the total moment   0.6601 μB per atom
Raw total energy   -9.250 eV/atom
Formation energy from raw total energies   -0.604 eV/atom
Density of states at the Fermi level   18.56 states/eV/f.u.

No. 3
The following is a PBE calculation of a relaxed structure of KNaTl2Ag, from the Alexandria database.

abc: 5.631 5.631 5.661
angles: 90.00 90.00 90.00
Atoms (fractional coordinates):
K: 0.000 0.000 0.000
Na: 0.500 0.500 0.000
Tl: 0.000 0.500 0.500
Tl: 0.500 0.000 0.500
Ag: 0.500 0.500 0.500

Output
V   179 Å³ per cell
Size of the total moment   0.0000 μB per atom
Raw total energy   -1.962 eV/atom
Density of states at the Fermi level   2.77 states/eV/f.u.

No. 4
The following is a PBE calculation of a relaxed structure of SrCa2In2As4, from the Alexandria database.

abc: 8.366 8.366 7.388
angles: 107.39 107.39 29.52
Atoms (fractional coordinates):
Sr: 0.000 0.000 0.000
Ca: 0.122 0.122 0.549
Ca: 0.878 0.878 0.451
In: 0.330 0.330 0.995
In: 0.670 0.670 0.005
As: 0.222 0.222 0.246
As: 0.476 0.476 0.296
As: 0.524 0.524 0.704
As: 0.778 0.778 0.754

Output
V   242 Å³ per cell
Size of the total moment   0.0000 μB per atom
Raw total energy   -4.051 eV/atom
Density of states at the Fermi level   0.36 states/eV/f.u.

No. 5
The following is a PBE calculation of a relaxed structure of ScTa2Cu, from the Alexandria database.

abc: 5.281 5.281 5.098
angles: 112.32 112.32 33.27
Atoms (fractional coordinates):
Sc: 0.000 0.000 0.000
Ta: 0.216 0.216 0.633
Ta: 0.454 0.454 0.470
Cu: 0.739 0.739 0.104

Output
V   72 Å³ per cell
Size of the total moment   0.0000 μB per atom
Raw total energy   -8.370 eV/atom
Density of states at the Fermi level   3.26 states/eV/f.u.

No. 6
The following is a PBE calculation of a relaxed structure of Sm2Dy6Er5, from the Alexandria database.

abc: 11.625 20.078 3.570
angles: 90.00 90.00 90.00
Atoms (fractional coordinates):
Sm: 0.166 0.213 0.000
Sm: 0.334 0.713 0.000
Sm: 0.666 0.287 0.000
Sm: 0.834 0.787 0.000
Dy: 0.059 0.921 0.000
Dy: 0.082 0.633 0.000
Dy: 0.175 0.370 0.500
Dy: 0.325 0.870 0.500
Dy: 0.418 0.133 0.000
Dy: 0.441 0.421 0.000
Dy: 0.559 0.579 0.000
Dy: 0.582 0.867 0.000
Dy: 0.675 0.130 0.500
Dy: 0.825 0.630 0.500
Dy: 0.918 0.367 0.000
Dy: 0.941 0.079 0.000
Er: 0.000 0.500 0.500
Er: 0.093 0.776 0.500
Er: 0.199 0.051 0.500
Er: 0.301 0.551 0.500
Er: 0.407 0.276 0.500
Er: 0.500 0.000 0.500
Er: 0.593 0.724 0.500
Er: 0.699 0.449 0.500
Er: 0.801 0.949 0.500
Er: 0.907 0.224 0.500

Output
V   833 Å³ per cell
Size of the total moment   0.0000 μB per atom
Raw total energy   -4.505 eV/atom
Density of states at the Fermi level   15.99 states/eV/f.u.

No. 7
The following is a PBE calculation of a relaxed structure of Cs2SiAu, from the Alexandria database.

abc: 10.053 10.053 10.053
angles: 93.10 93.10 153.11
Atoms (fractional coordinates):
Cs: 0.375 0.063 0.188
Cs: 0.813 0.625 0.688
Cs: 0.875 0.187 0.812
Cs: 0.937 0.125 0.312
Si: 0.250 0.750 0.500
Si: 0.500 0.500 0.000
Au: 0.000 0.000 0.000
Au: 0.750 0.250 0.500

Output
V   447 Å³ per cell
Size of the total moment   0.0000 μB per atom
Raw total energy   -2.664 eV/atom
Formation energy from raw total energies   -0.062 eV/atom
Density of states at the Fermi level   1.29 states/eV/f.u.

No. 8
The following is a PBE calculation of a relaxed structure of La2SbN, from the Alexandria database.

abc: 7.681 4.529 12.582
angles: 90.00 90.00 90.00
Atoms (fractional coordinates):
La: 0.091 0.250 0.246
La: 0.172 0.250 0.958
La: 0.328 0.750 0.458
La: 0.409 0.750 0.746
La: 0.591 0.250 0.254
La: 0.672 0.250 0.542
La: 0.828 0.750 0.042
La: 0.909 0.750 0.754
Sb: 0.138 0.250 0.640
Sb: 0.362 0.750 0.140
Sb: 0.638 0.250 0.860
Sb: 0.862 0.750 0.360
N: 0.051 0.750 0.909
N: 0.449 0.250 0.409
N: 0.551 0.750 0.591
N: 0.949 0.250 0.091

Output
V   438 Å³ per cell
Size of the total moment   0.0000 μB per atom
Raw total energy   -6.896 eV/atom
Formation energy from raw total energies   -1.320 eV/atom
Density of states at the Fermi level   0.01 states/eV/f.u.